Na2MgAsH: optimized geometry, PBE.

POSCAR file:
```
Na2MgAsH
1.0
4.275 0.000 0.000
0.000 4.275 0.000
0.000 0.000 4.709
Na H As Mg
2 1 1 1
direct
0.000 0.500 0.000
0.500 0.000 0.000
0.000 0.000 0.000
0.500 0.500 0.500
0.000 0.000 0.500
```

Computed properties:
Space-group type   No. 123
Total moment   0.000 μB/f.u.
E_tot   -13.7 eV for the cell shown

MgNi2AsH: optimized geometry, PBE.

POSCAR file:
```
MgNi2AsH
1.0
-1.384 0.924 3.113
3.356 -4.210 0.741
5.109 4.250 1.009
Ni Mg As H
4 2 2 2
direct
0.152 0.305 0.553
0.848 0.695 0.053
0.848 0.695 0.447
0.152 0.305 0.947
0.465 0.931 0.750
0.535 0.069 0.250
0.739 0.477 0.750
0.261 0.523 0.250
0.000 0.000 0.000
0.000 0.000 0.500
```

Computed properties:
Space-group type   No. 63
Total moment   0.000 μB/f.u.
E_tot   -45.6 eV for the cell shown

MgAs2HO6: optimized geometry, PBE.

POSCAR file:
```
MgAs2HO6
1.0
-2.132 -5.155 -2.777
-4.359 -5.358 3.804
-6.926 -0.219 -3.762
O H As Mg
12 2 4 2
direct
0.011 0.377 0.861
0.489 0.139 0.623
0.382 0.188 0.050
0.989 0.623 0.139
0.683 0.612 0.657
0.817 0.343 0.388
0.511 0.861 0.377
0.183 0.657 0.612
0.118 0.950 0.812
0.317 0.388 0.343
0.618 0.812 0.950
0.882 0.050 0.188
0.250 0.280 0.720
0.750 0.720 0.280
0.368 0.772 0.620
0.868 0.620 0.772
0.632 0.228 0.380
0.132 0.380 0.228
0.250 0.056 0.944
0.750 0.944 0.056
```

Computed properties:
Space-group type   No. 15
Total moment   0.000 μB/f.u.
E_tot   -114.7 eV for the cell shown

MgAsH15O11: optimized geometry, PBE.

POSCAR file:
```
MgAsH15O11
1.0
-2.853 5.973 -0.949
-10.786 -3.928 -0.276
-2.344 4.598 12.425
O H As Mg
44 60 4 4
direct
0.299 0.394 0.392
0.494 0.069 0.112
0.782 0.095 0.837
0.127 0.634 0.554
0.571 0.670 0.441
0.681 0.134 0.446
0.012 0.170 0.559
0.619 0.595 0.163
0.394 0.431 0.112
0.711 0.755 0.010
0.047 0.546 0.071
0.289 0.245 0.990
0.721 0.255 0.990
0.319 0.866 0.554
0.395 0.873 0.326
0.080 0.353 0.734
0.826 0.763 0.778
0.873 0.366 0.446
0.920 0.647 0.266
0.381 0.405 0.837
0.279 0.627 0.326
0.604 0.263 0.222
0.429 0.330 0.559
0.141 0.586 0.755
0.118 0.046 0.929
0.396 0.737 0.778
0.605 0.127 0.674
0.186 0.147 0.734
0.814 0.853 0.266
0.953 0.454 0.929
0.606 0.569 0.888
0.859 0.414 0.245
0.988 0.830 0.441
0.103 0.914 0.755
0.218 0.905 0.163
0.721 0.373 0.674
0.691 0.894 0.608
0.897 0.086 0.245
0.309 0.106 0.392
0.279 0.745 0.010
0.506 0.931 0.888
0.174 0.237 0.222
0.701 0.606 0.608
0.882 0.954 0.071
0.079 0.311 0.231
0.543 0.130 0.432
0.616 0.642 0.504
0.808 0.320 0.969
0.451 0.131 0.702
0.000 0.000 0.000
0.223 0.180 0.969
0.403 0.622 0.265
0.609 0.990 0.875
0.921 0.689 0.769
0.329 0.021 0.372
0.635 0.027 0.091
0.597 0.378 0.735
0.873 0.750 0.255
0.078 0.158 0.617
0.127 0.250 0.745
0.384 0.358 0.496
0.220 0.890 0.620
0.922 0.842 0.383
0.516 0.510 0.875
0.975 0.630 0.568
0.025 0.370 0.432
0.847 0.369 0.702
0.077 0.175 0.224
0.700 0.521 0.628
0.332 0.878 0.265
0.484 0.490 0.125
0.923 0.825 0.776
0.699 0.325 0.224
0.386 0.349 0.333
0.614 0.651 0.667
0.153 0.631 0.298
0.391 0.010 0.125
0.258 0.799 0.070
0.000 0.500 0.000
0.671 0.979 0.628
0.120 0.142 0.496
0.301 0.675 0.776
0.840 0.390 0.380
0.719 0.849 0.667
0.777 0.820 0.031
0.309 0.811 0.769
0.742 0.201 0.930
0.549 0.869 0.298
0.726 0.527 0.909
0.672 0.701 0.070
0.328 0.299 0.930
0.274 0.473 0.091
0.694 0.658 0.383
0.780 0.110 0.380
0.281 0.151 0.333
0.192 0.680 0.031
0.691 0.189 0.231
0.880 0.858 0.504
0.365 0.973 0.909
0.306 0.342 0.617
0.160 0.610 0.620
0.457 0.870 0.568
0.300 0.479 0.372
0.668 0.122 0.735
0.040 0.047 0.814
0.146 0.453 0.814
0.854 0.547 0.186
0.960 0.953 0.186
0.723 0.250 0.554
0.277 0.750 0.446
0.448 0.250 0.105
0.552 0.750 0.895
```

Computed properties:
Space-group type   No. 15
Total moment   0.000 μB/f.u.
E_tot   -580.6 eV for the cell shown

MgAs2HO: optimized geometry, PBE.

POSCAR file:
```
MgAs2HO
1.0
3.653 0.000 0.000
0.000 5.525 0.000
0.000 0.000 3.653
As O Mg H
2 1 1 1
direct
0.500 0.000 0.000
0.000 0.000 0.500
0.000 0.500 0.000
0.500 0.500 0.500
0.000 0.000 0.000
```

Computed properties:
Space-group type   No. 123
Total moment   0.000 μB/f.u.
E_tot   -18.4 eV for the cell shown

RbMgAsH12O10: optimized geometry, PBE.

POSCAR file:
```
RbMgAsH12O10
1.0
6.240 0.000 0.000
0.000 7.064 0.000
0.000 0.000 11.560
O H As Mg Rb
20 24 2 2 2
direct
0.026 0.794 0.494
0.373 0.202 0.937
0.243 0.500 0.418
0.627 0.702 0.437
0.230 0.222 0.721
0.553 0.500 0.037
0.770 0.278 0.221
0.468 0.500 0.630
0.974 0.706 0.994
0.026 0.206 0.494
0.532 0.000 0.130
0.974 0.294 0.994
0.183 0.500 0.189
0.230 0.778 0.721
0.817 0.000 0.689
0.373 0.798 0.937
0.770 0.722 0.221
0.447 0.000 0.537
0.757 0.000 0.918
0.627 0.298 0.437
0.508 0.114 0.495
0.888 0.820 0.967
0.492 0.614 0.995
0.128 0.259 0.980
0.680 0.000 0.647
0.508 0.886 0.495
0.290 0.204 0.801
0.290 0.796 0.801
0.324 0.679 0.683
0.784 0.000 0.775
0.676 0.821 0.183
0.112 0.680 0.467
0.710 0.704 0.301
0.492 0.386 0.995
0.216 0.500 0.275
0.676 0.179 0.183
0.112 0.320 0.467
0.710 0.296 0.301
0.128 0.741 0.980
0.872 0.241 0.480
0.324 0.321 0.683
0.888 0.180 0.967
0.320 0.500 0.147
0.872 0.759 0.480
0.495 0.500 0.482
0.505 0.000 0.982
0.872 0.500 0.112
0.128 0.000 0.612
0.865 0.500 0.764
0.135 0.000 0.264
```

Computed properties:
Space-group type   No. 31
Total moment   0.002 μB/f.u.
E_tot   -260.2 eV for the cell shown

MgTlAsH12O10: optimized geometry, PBE.

POSCAR file:
```
MgTlAsH12O10
1.0
-5.155 0.396 3.475
-1.187 -6.911 -0.975
6.140 -2.378 9.380
H O Mg Tl As
24 20 2 2 2
direct
0.210 0.706 0.310
0.014 0.886 0.504
0.790 0.794 0.810
0.186 0.000 0.653
0.171 0.178 0.192
0.713 0.500 0.282
0.380 0.182 0.973
0.287 0.000 0.782
0.986 0.386 0.004
0.380 0.818 0.973
0.814 0.500 0.153
0.380 0.758 0.486
0.620 0.318 0.473
0.829 0.322 0.692
0.380 0.242 0.486
0.014 0.114 0.504
0.171 0.822 0.192
0.620 0.742 0.986
0.210 0.294 0.310
0.986 0.614 0.004
0.790 0.206 0.810
0.620 0.258 0.986
0.829 0.678 0.692
0.620 0.682 0.473
0.866 0.799 0.947
0.732 0.224 0.729
0.677 0.500 0.197
0.268 0.276 0.229
0.974 0.500 0.641
0.954 0.000 0.546
0.466 0.297 0.996
0.323 0.000 0.697
0.750 0.500 0.428
0.534 0.797 0.496
0.268 0.724 0.229
0.134 0.299 0.447
0.250 0.000 0.928
0.534 0.203 0.496
0.134 0.701 0.447
0.026 0.000 0.141
0.046 0.500 0.046
0.466 0.703 0.996
0.866 0.201 0.947
0.732 0.776 0.729
0.368 0.500 0.119
0.632 0.000 0.619
0.617 0.000 0.275
0.383 0.500 0.775
0.998 0.000 0.992
0.002 0.500 0.492
```

Computed properties:
Space-group type   No. 31
Total moment   0.000 μB/f.u.
E_tot   -259.0 eV for the cell shown

Mg2AsHPd: optimized geometry, PBE.

POSCAR file:
```
Mg2AsHPd
1.0
-2.573 3.006 -2.076
-3.457 -2.823 0.197
-0.973 1.420 3.263
As Pd H Mg
1 1 1 2
direct
0.500 0.500 0.500
0.000 0.000 0.500
0.000 0.000 0.000
0.500 0.000 0.000
0.000 0.500 0.000
```

Computed properties:
Space-group type   No. 123
Total moment   0.000 μB/f.u.
E_tot   -18.4 eV for the cell shown

Mg3AsH2Pd6: optimized geometry, PBE.

POSCAR file:
```
Mg3AsH2Pd6
1.0
5.588 0.000 0.000
-2.794 4.840 0.000
0.000 0.000 7.769
Pd Mg H As
6 3 2 1
direct
0.828 0.172 0.724
0.172 0.344 0.276
0.828 0.656 0.724
0.172 0.828 0.276
0.656 0.828 0.276
0.344 0.172 0.724
0.000 0.000 0.000
0.667 0.333 0.378
0.333 0.667 0.622
0.333 0.667 0.148
0.667 0.333 0.852
0.000 0.000 0.500
```

Computed properties:
Space-group type   No. 164
Total moment   0.000 μB/f.u.
E_tot   -51.4 eV for the cell shown

Mg2AsHPt6: optimized geometry, PBE.

POSCAR file:
```
Mg2AsHPt6
1.0
-3.336 -2.344 5.525
-0.273 -5.089 -2.322
6.097 3.080 -0.709
Pt H As Mg
6 1 1 2
direct
0.745 0.761 0.521
0.285 0.228 0.454
0.239 0.761 0.015
0.773 0.228 0.942
0.773 0.715 0.942
0.239 0.255 0.015
0.978 0.022 0.043
0.506 0.495 0.988
0.745 0.255 0.509
0.216 0.785 0.568
```

Computed properties:
Space-group type   No. 160
Total moment   0.000 μB/f.u.
E_tot   -51.3 eV for the cell shown

RbMg2AsH2: optimized geometry, PBE.

POSCAR file:
```
RbMg2AsH2
1.0
-0.453 4.972 2.839
-7.980 -0.025 -1.231
4.165 -2.971 5.868
Mg H Rb As
4 4 2 2
direct
0.497 0.193 0.249
0.997 0.807 0.751
0.503 0.807 0.751
0.003 0.193 0.249
0.250 0.610 0.571
0.750 0.390 0.429
0.750 0.807 0.584
0.250 0.193 0.416
0.250 0.738 0.258
0.750 0.262 0.742
0.750 0.830 0.055
0.250 0.170 0.945
```

Computed properties:
Space-group type   No. 11
Total moment   0.000 μB/f.u.
E_tot   -35.3 eV for the cell shown

Mg2AsHS: optimized geometry, PBE.

POSCAR file:
```
Mg2AsHS
1.0
-2.861 2.421 -2.915
-2.630 -0.077 2.517
1.612 4.083 1.808
As Mg S H
1 2 1 1
direct
0.000 0.500 0.000
0.000 0.000 0.500
0.500 0.000 0.000
0.500 0.500 0.500
0.000 0.000 0.000
```

Computed properties:
Space-group type   No. 123
Total moment   0.000 μB/f.u.
E_tot   -15.9 eV for the cell shown

MgAsHSe2: optimized geometry, PBE.

POSCAR file:
```
MgAsHSe2
1.0
-2.607 -3.963 1.777
3.000 -0.145 4.079
-3.146 3.157 2.425
Mg As H Se
1 1 1 2
direct
0.000 0.000 0.000
0.000 0.000 0.500
0.500 0.500 0.500
0.500 0.000 0.000
0.000 0.500 0.000
```

Computed properties:
Relative energy among the computed polymorphs   3.351 eV per formula unit
Space-group type   No. 123
Total moment   1.283 μB/f.u.

MgAsHSe2: optimized geometry, PBE.

POSCAR file:
```
MgAsHSe2
1.0
-2.870 3.187 2.548
-1.244 -3.651 3.164
2.739 0.835 2.041
Mg Se H As
1 2 1 1
direct
0.500 0.500 0.500
0.000 0.500 0.000
0.500 0.000 0.000
0.000 0.000 0.000
0.000 0.000 0.500
```

Computed properties:
Relative energy among the computed polymorphs   0.000 eV per formula unit
Space-group type   No. 123
Total moment   0.000 μB/f.u.

MgAs2HSe: optimized geometry, PBE.

POSCAR file:
```
MgAs2HSe
1.0
5.028 0.000 0.000
0.000 5.028 0.000
0.000 0.000 5.035
As H Se Mg
2 1 1 1
direct
0.500 0.000 0.000
0.000 0.500 0.000
0.500 0.500 0.500
0.000 0.000 0.500
0.000 0.000 0.000
```

Computed properties:
Relative energy among the computed polymorphs   3.967 eV per formula unit
Space-group type   No. 123
Total moment   0.871 μB/f.u.